Below is a relaxed RbMnIF2 crystal, with properties calculated at the PBE with a Hubbard U level.

* E_tot: -4.8739 eV/atom
* V: 30.2 Å³ per atom

```
data_RbMnIF2
_chemical_formula_sum 'Rb2 Mn2 I2 F4'
_cell_length_a 8.195
_cell_length_b 4.381
_cell_length_c 8.552
_cell_angle_alpha 90.00
_cell_angle_beta 100.51
_cell_angle_gamma 90.00
_symmetry_space_group_name_H-M 'P 1 21/m 1'
_symmetry_Int_Tables_number 11
loop_
_symmetry_equiv_pos_as_xyz
'x,y,z'
'-x,-y,-z'
'-x,y+1/2,-z'
'x,-y+1/2,z'
loop_
_atom_site_label
_atom_site_type_symbol
_atom_site_fract_x
_atom_site_fract_y
_atom_site_fract_z
Rb1 Rb 0.226 0.250 0.118
Mn1 Mn 0.079 0.250 0.647
I1 I 0.413 0.250 0.737
F1 F 0.017 0.750 0.599
F2 F 0.035 0.750 0.165
```